Computed, not measured: a relaxed Nd5Cu4Au crystal at the GGA-PBE level of DFT.

Computed properties:
Electronic total energy in eV for the cell shown: -46.13
E_form in eV/atom: -0.2630

abc: 3.6063 3.6063 18.2476
angles: 90.00 90.00 90.00
Sites, in units of the cell vectors:
Nd: 0.0000 0.0000 0.0000
Nd: 0.0000 0.0000 0.1975
Nd: 0.0000 0.0000 0.3952
Nd: 0.0000 0.0000 0.6048
Nd: 0.0000 0.0000 0.8025
Cu: 0.5000 0.5000 0.0987
Cu: 0.5000 0.5000 0.2943
Cu: 0.5000 0.5000 0.7057
Cu: 0.5000 0.5000 0.9013
Au: 0.5000 0.5000 0.5000